1:
## BaZnNi3 (GGA-PBE)

Data for a relaxed BaZnNi3 crystal.

Computed properties:
Crystal system: cubic
SG: Pm-3m
Fermi-level density of states (states/eV per cell): 0.9
Spin magnetization (Bohr magnetons per cell): 0.00
Calculated density (g/cm³): 5.23

```
data_BaZnNi3
_chemical_formula_sum 'Ba1 Zn1 Ni3'
_cell_length_a 4.9369
_cell_length_b 4.9369
_cell_length_c 4.9369
_cell_angle_alpha 90.00
_cell_angle_beta 90.00
_cell_angle_gamma 90.00
_symmetry_space_group_name_H-M 'P 1'
_symmetry_Int_Tables_number 1
loop_
_symmetry_equiv_pos_as_xyz
'x,y,z'
loop_
_atom_site_label
_atom_site_fract_x
_atom_site_fract_y
_atom_site_fract_z
Ba1 0.0000 0.0000 0.0000
Zn1 0.5000 0.5000 0.5000
Ni1 0.0000 0.0000 0.5000
Ni2 0.0000 0.5000 0.0000
Ni3 0.5000 0.0000 0.0000
```



2:
## BaZnNi3 (GGA-PBE)

Data for a relaxed BaZnNi3 crystal.

Computed properties:
Crystal system: cubic
SG: Pm-3m
Fermi-level density of states (states/eV per cell): 2.3
Spin magnetization (Bohr magnetons per cell): 0.00
Calculated density (g/cm³): 6.47

```
data_BaZnNi3
_chemical_formula_sum 'Ba1 Zn1 Ni3'
_cell_length_a 4.5991
_cell_length_b 4.5991
_cell_length_c 4.5991
_cell_angle_alpha 90.00
_cell_angle_beta 90.00
_cell_angle_gamma 90.00
_symmetry_space_group_name_H-M 'P 1'
_symmetry_Int_Tables_number 1
loop_
_symmetry_equiv_pos_as_xyz
'x,y,z'
loop_
_atom_site_label
_atom_site_fract_x
_atom_site_fract_y
_atom_site_fract_z
Ba1 0.0000 0.0000 0.0000
Zn1 0.5000 0.5000 0.5000
Ni1 0.0000 0.5000 0.5000
Ni2 0.5000 0.0000 0.5000
Ni3 0.5000 0.5000 0.0000
```



3:
## BaZnNi3 (GGA-PBE)

Data for a relaxed BaZnNi3 crystal.

Computed properties:
Crystal system: monoclinic
SG: C2/m
Fermi-level density of states (states/eV per cell): 10.6
Spin magnetization (Bohr magnetons per cell): 0.01
Calculated density (g/cm³): 7.03

```
data_BaZnNi3
_chemical_formula_sum 'Ba2 Zn2 Ni6'
_cell_length_a 6.8295
_cell_length_b 6.8295
_cell_length_c 7.1615
_cell_angle_alpha 96.19
_cell_angle_beta 96.19
_cell_angle_gamma 32.64
_symmetry_space_group_name_H-M 'P 1'
_symmetry_Int_Tables_number 1
loop_
_symmetry_equiv_pos_as_xyz
'x,y,z'
loop_
_atom_site_label
_atom_site_fract_x
_atom_site_fract_y
_atom_site_fract_z
Ba1 0.1322 0.1322 0.0267
Ba2 0.8678 0.8678 0.9733
Zn1 0.4840 0.4840 0.6705
Zn2 0.5160 0.5160 0.3295
Ni1 0.0985 0.0985 0.5201
Ni2 0.2817 0.2817 0.6191
Ni3 0.3278 0.3278 0.3121
Ni4 0.6722 0.6722 0.6879
Ni5 0.7183 0.7183 0.3809
Ni6 0.9015 0.9015 0.4799
```



Quick look at relative energies in meV/atom: 1 1695; 2 333; 3 0.



1:
## BaZr2Ni (GGA-PBE)

Data for a relaxed BaZr2Ni crystal.

Computed properties:
Crystal system: tetragonal
SG: P4mm
Fermi-level density of states (states/eV per cell): 5.0
Spin magnetization (Bohr magnetons per cell): 0.00
Calculated density (g/cm³): 6.19

```
data_BaZr2Ni
_chemical_formula_sum 'Ba1 Zr2 Ni1'
_cell_length_a 3.3888
_cell_length_b 3.3888
_cell_length_c 8.8456
_cell_angle_alpha 90.00
_cell_angle_beta 90.00
_cell_angle_gamma 90.00
_symmetry_space_group_name_H-M 'P 1'
_symmetry_Int_Tables_number 1
loop_
_symmetry_equiv_pos_as_xyz
'x,y,z'
loop_
_atom_site_label
_atom_site_fract_x
_atom_site_fract_y
_atom_site_fract_z
Ba1 0.0000 0.0000 0.0000
Zr1 0.0000 0.0000 0.4110
Zr2 0.5000 0.5000 0.6372
Ni1 0.5000 0.5000 0.2744
```



2:
## BaZr2Ni (GGA-PBE)

Data for a relaxed BaZr2Ni crystal.

Computed properties:
Crystal system: tetragonal
SG: P4/mmm
Fermi-level density of states (states/eV per cell): 5.7
Spin magnetization (Bohr magnetons per cell): 0.00
Calculated density (g/cm³): 6.43

```
data_BaZr2Ni
_chemical_formula_sum 'Ba1 Zr2 Ni1'
_cell_length_a 4.2426
_cell_length_b 4.2426
_cell_length_c 5.4290
_cell_angle_alpha 90.00
_cell_angle_beta 90.00
_cell_angle_gamma 90.00
_symmetry_space_group_name_H-M 'P 1'
_symmetry_Int_Tables_number 1
loop_
_symmetry_equiv_pos_as_xyz
'x,y,z'
loop_
_atom_site_label
_atom_site_fract_x
_atom_site_fract_y
_atom_site_fract_z
Ba1 0.0000 0.0000 0.0000
Zr1 0.0000 0.5000 0.5000
Zr2 0.5000 0.0000 0.5000
Ni1 0.5000 0.5000 0.0000
```



Quick look at relative energies in meV/atom: 1 0; 2 539.



1:
## BaZr2Ni (GGA-PBE)

Data for a relaxed BaZr2Ni crystal.

Computed properties:
Crystal system: trigonal
SG: R-3m
Fermi-level density of states (states/eV per cell): 3.8
Spin magnetization (Bohr magnetons per cell): 0.00
Calculated density (g/cm³): 5.79

```
data_BaZr2Ni
_chemical_formula_sum 'Ba1 Zr2 Ni1'
_cell_length_a 9.3969
_cell_length_b 9.3969
_cell_length_c 9.3969
_cell_angle_alpha 22.71
_cell_angle_beta 22.71
_cell_angle_gamma 22.71
_symmetry_space_group_name_H-M 'P 1'
_symmetry_Int_Tables_number 1
loop_
_symmetry_equiv_pos_as_xyz
'x,y,z'
loop_
_atom_site_label
_atom_site_fract_x
_atom_site_fract_y
_atom_site_fract_z
Ba1 0.0000 0.0000 0.0000
Zr1 0.2186 0.2186 0.2186
Zr2 0.7814 0.7814 0.7814
Ni1 0.5000 0.5000 0.5000
```



2:
## BaZr2Ni (GGA-PBE)

Data for a relaxed BaZr2Ni crystal.

Computed properties:
Crystal system: monoclinic
SG: Cm
Fermi-level density of states (states/eV per cell): 4.2
Spin magnetization (Bohr magnetons per cell): 0.00
Calculated density (g/cm³): 5.47

```
data_BaZr2Ni
_chemical_formula_sum 'Ba1 Zr2 Ni1'
_cell_length_a 4.8406
_cell_length_b 4.8406
_cell_length_c 7.7147
_cell_angle_alpha 109.12
_cell_angle_beta 109.12
_cell_angle_gamma 42.73
_symmetry_space_group_name_H-M 'P 1'
_symmetry_Int_Tables_number 1
loop_
_symmetry_equiv_pos_as_xyz
'x,y,z'
loop_
_atom_site_label
_atom_site_fract_x
_atom_site_fract_y
_atom_site_fract_z
Ba1 0.0000 0.0000 0.0000
Zr1 0.6156 0.6156 0.6183
Zr2 0.8459 0.8459 0.3719
Ni1 0.3216 0.3216 0.6042
```



Quick look at relative energies in meV/atom: 1 0; 2 9.



1:
## BaZr2Ni (GGA-PBE)

Data for a relaxed BaZr2Ni crystal.

Computed properties:
Crystal system: cubic
SG: F-43m
Fermi-level density of states (states/eV per cell): 3.9
Spin magnetization (Bohr magnetons per cell): 2.88
Calculated density (g/cm³): 6.51

```
data_BaZr2Ni
_chemical_formula_sum 'Ba1 Zr2 Ni1'
_cell_length_a 5.1493
_cell_length_b 5.1493
_cell_length_c 5.1493
_cell_angle_alpha 60.00
_cell_angle_beta 60.00
_cell_angle_gamma 60.00
_symmetry_space_group_name_H-M 'P 1'
_symmetry_Int_Tables_number 1
loop_
_symmetry_equiv_pos_as_xyz
'x,y,z'
loop_
_atom_site_label
_atom_site_fract_x
_atom_site_fract_y
_atom_site_fract_z
Ba1 0.0000 0.0000 0.0000
Zr1 0.2500 0.2500 0.2500
Zr2 0.5000 0.5000 0.5000
Ni1 0.7500 0.7500 0.7500
```



2:
## BaZr2Ni (GGA-PBE)

Data for a relaxed BaZr2Ni crystal.

Computed properties:
Crystal system: tetragonal
SG: P4/mmm
Fermi-level density of states (states/eV per cell): 5.4
Spin magnetization (Bohr magnetons per cell): 0.00
Calculated density (g/cm³): 7.04

```
data_BaZr2Ni
_chemical_formula_sum 'Ba1 Zr2 Ni1'
_cell_length_a 5.1365
_cell_length_b 5.1365
_cell_length_c 3.3839
_cell_angle_alpha 90.00
_cell_angle_beta 90.00
_cell_angle_gamma 90.00
_symmetry_space_group_name_H-M 'P 1'
_symmetry_Int_Tables_number 1
loop_
_symmetry_equiv_pos_as_xyz
'x,y,z'
loop_
_atom_site_label
_atom_site_fract_x
_atom_site_fract_y
_atom_site_fract_z
Ba1 0.0000 0.0000 0.0000
Zr1 0.0000 0.5000 0.5000
Zr2 0.5000 0.0000 0.5000
Ni1 0.5000 0.5000 0.0000
```



3:
## BaZr2Ni (GGA-PBE)

Data for a relaxed BaZr2Ni crystal.

Computed properties:
Crystal system: tetragonal
SG: I4/mmm
Fermi-level density of states (states/eV per cell): 4.8
Spin magnetization (Bohr magnetons per cell): 0.00
Calculated density (g/cm³): 6.46

```
data_BaZr2Ni
_chemical_formula_sum 'Ba1 Zr2 Ni1'
_cell_length_a 6.2099
_cell_length_b 6.2099
_cell_length_c 6.2099
_cell_angle_alpha 140.19
_cell_angle_beta 140.19
_cell_angle_gamma 57.56
_symmetry_space_group_name_H-M 'P 1'
_symmetry_Int_Tables_number 1
loop_
_symmetry_equiv_pos_as_xyz
'x,y,z'
loop_
_atom_site_label
_atom_site_fract_x
_atom_site_fract_y
_atom_site_fract_z
Ba1 0.0000 0.0000 0.0000
Zr1 0.2500 0.7500 0.5000
Zr2 0.7500 0.2500 0.5000
Ni1 0.5000 0.5000 0.0000
```



Quick look at relative energies in meV/atom: 1 68; 2 127; 3 0.